MgMoI2O | GGA+U | optimized geometry

Values from the calculation:
Total moment   0.9113 μB per atom
Space group   P4/mmm (123)
D(E_F)   1.078 states/eV/atom
E_tot   -18.144 eV for the cell shown

Unit cell a=5.8462 b=5.8462 c=3.7731 alpha=90.00 beta=90.00 gamma=90.00
With the nearest neighbours (Å) after each atom.
Fractional coordinates of all 5 atoms:
Mg  0.0000  0.0000  0.0000  2 O 1.89
O  0.0000  0.0000  0.5000  2 Mg 1.89
I  0.5000  0.0000  0.0000  2 Mg 2.92
I  0.0000  0.5000  0.0000  2 Mg 2.92
Mo  0.5000  0.5000  0.5000  8 I 3.48, 2 Mo 3.77